Record 1
The following is a PBE-GGA calculation of Zr2TiAl2Ir5 after structural relaxation, from the Alexandria database.

Output
**Total magnetization**: 0.00 μB per cell
**Energy**: -8.495 eV/atom

abc: 9.4361 9.4361 3.6258
angles: 90.00 90.00 90.00
With the nearest neighbours (Å) after each atom.
Space group P4/mbm (No. 127)
Inequivalent atoms, fractional coordinates:
Zr1 0.1739 0.3261 0.0000  3 Al 2.69-2.85, 2 Ir 2.94
Ti1 0.0000 0.0000 0.0000  8 Ir 2.72
Al1 0.1244 0.6244 0.0000  6 Ir 2.46-2.49, 1 Zr 2.69
Ir1 0.0000 0.5000 0.5000  4 Al 2.46
Ir2 0.0684 0.7961 0.5000  2 Al 2.49, 2 Ti 2.72

***

Record 2
The following is a PBE-GGA calculation of Zr2Ti5AlIr2 after structural relaxation, from the Alexandria database.

Output
**Total magnetization**: 0.00 μB per cell
**Energy**: -8.210 eV/atom

abc: 10.6091 10.6091 3.2551
angles: 90.00 90.00 90.00
With the nearest neighbours (Å) after each atom.
Space group P4/mbm (No. 127)
Inequivalent atoms, fractional coordinates:
Zr1 0.1765 0.3235 0.0000  1 Ir 2.89, 6 Ti 3.11-3.21
Ti1 0.0000 0.5000 0.5000  4 Ir 2.55
Ti2 0.0544 0.7988 0.5000  2 Ir 2.54, 2 Al 2.75
Al1 0.0000 0.0000 0.0000  8 Ti 2.75
Ir1 0.1310 0.6310 0.0000  6 Ti 2.54-2.55